*one*
This record from Alexandria via LeMat-Bulk describes a relaxed structure of ZnBiNF2. The functional is PBE.

The volume is 92.24 Å³ per cell.

Cell: 4.5009 4.5009 4.5533 Å, 90.00 90.00 90.00°
Closest atoms and distances in Å follow each position.
Space group P4/mmm (No. 123)
One atom of each set of equivalent atoms:
1 Zn 0.0000 0.0000 0.0000  4 N 3.18, 8 F 3.20
2 Bi 0.5000 0.5000 0.5000  4 F 2.25, 2 N 2.28
3 N 0.5000 0.5000 0.0000  2 Bi 2.28
4 F 0.0000 0.5000 0.5000  2 Bi 2.25

***

*two*
This record from Alexandria via LeMat-Bulk describes a relaxed structure of ZnBiNF2. The functional is PBE.

The volume is 68.11 Å³ per cell.

Cell: 3.9241 3.9241 4.4235 Å, 90.00 90.00 90.00°
Closest atoms and distances in Å follow each position.
Space group P4/mmm (No. 123)
One atom of each set of equivalent atoms:
1 Zn 0.0000 0.0000 0.0000  4 F 1.96
2 Bi 0.5000 0.5000 0.5000  4 N 2.77, 8 F 2.96
3 N 0.0000 0.0000 0.5000  2 Zn 2.21
4 F 0.0000 0.5000 0.0000  2 Zn 1.96

***

Question: of the structures shown, which is the most stable? Reply: *two*.